Here is TlGaGeSe2 after structural relaxation from Alexandria via LeMat-Bulk. Energies are from PBE-GGA.

Computed properties:
energy relative to the elements, uncorrected: 184.6 meV/atom
symmetry: P4/mmm
spin magnetization: 0.00 Bohr magnetons per cell
VASP energy: -3.211 eV per atom

Lattice parameters (Å, degrees): 5.2243 5.2243 5.3294 90.00 90.00 90.00
With the nearest neighbours (Å) after each atom.
Positions (direct):
Tl1 0.0000 0.0000 0.0000  2 Ge 2.66
Ga1 0.5000 0.5000 0.0000  4 Tl 3.69, 8 Se 3.73
Ge1 0.0000 0.0000 0.5000  4 Se 2.61, 2 Tl 2.66
Se1 0.0000 0.5000 0.5000  2 Ge 2.61
Se2 0.5000 0.0000 0.5000  2 Ge 2.61

---

Here is Tm8GaGe3Se4 after structural relaxation from Alexandria via LeMat-Bulk. Energies are from PBE-GGA.

Computed properties:
energy relative to the elements, uncorrected: -1272.2 meV/atom
symmetry: R-3m
spin magnetization: 0.00 Bohr magnetons per cell
VASP energy: -5.434 eV per atom

Lattice parameters (Å, degrees): 8.2357 8.2357 8.2357 58.77 58.77 58.77
With the nearest neighbours (Å) after each atom.
Positions (direct):
Tm1 0.2444 0.7484 0.7484  2 Ge 2.84, 1 Ga 2.87, 3 Se 2.91-2.93
Tm2 0.2445 0.2445 0.2445  3 Ge 2.82, 3 Se 2.95
Tm3 0.2516 0.2516 0.7556  2 Ge 2.84, 1 Ga 2.87, 3 Se 2.91-2.93
Tm4 0.2516 0.7556 0.2516  2 Ge 2.84, 1 Ga 2.87, 3 Se 2.91-2.93
Tm5 0.7484 0.2444 0.7484  2 Ge 2.84, 1 Ga 2.87, 3 Se 2.91-2.93
Tm6 0.7484 0.7484 0.2444  2 Ge 2.84, 1 Ga 2.87, 3 Se 2.91-2.93
Tm7 0.7555 0.7555 0.7555  3 Ge 2.82, 3 Se 2.95
Tm8 0.7556 0.2516 0.2516  2 Ge 2.84, 1 Ga 2.87, 3 Se 2.91-2.93
Ga1 0.5000 0.5000 0.5000  6 Tm 2.87
Ge1 0.0000 0.0000 0.5000  6 Tm 2.82-2.84
Ge2 0.0000 0.5000 0.0000  6 Tm 2.82-2.84
Ge3 0.5000 0.0000 0.0000  6 Tm 2.82-2.84
Se1 0.0000 0.0000 0.0000  6 Tm 2.91
Se2 0.0000 0.5000 0.5000  6 Tm 2.93-2.95
Se3 0.5000 0.0000 0.5000  6 Tm 2.93-2.95
Se4 0.5000 0.5000 0.0000  6 Tm 2.93-2.95

---

Here is UGaGeSe after structural relaxation from Alexandria via LeMat-Bulk. Energies are from PBE-GGA.

Computed properties:
energy relative to the elements, uncorrected: -375.4 meV/atom
symmetry: P4/nmm
spin magnetization: 4.67 Bohr magnetons per cell
VASP energy: -5.980 eV per atom

Lattice parameters (Å, degrees): 4.4837 4.4837 8.3843 90.00 90.00 90.00
With the nearest neighbours (Å) after each atom.
Positions (direct):
U1 0.2500 0.2500 0.2186  4 Se 2.90
U2 0.7500 0.7500 0.7814  4 Se 2.90
Ga1 0.2500 0.7500 0.5000  4 Ge 2.68
Ga2 0.7500 0.2500 0.5000  4 Ge 2.68
Ge1 0.2500 0.2500 0.6750  4 Ga 2.68
Ge2 0.7500 0.7500 0.3250  4 Ga 2.68
Se1 0.2500 0.7500 0.0000  4 U 2.90, 4 Se 3.17
Se2 0.7500 0.2500 0.0000  4 U 2.90, 4 Se 3.17